1.
! Ca4U3TaN8 (GGA-PBE, optimized geometry); values from VASP
&SYSTEM
  ibrav = 0, nat = 16, ntyp = 4
/
ATOMIC_SPECIES
Ca 40.08 Ca.upf
U 238.03 U.upf
Ta 180.95 Ta.upf
N 14.01 N.upf
CELL_PARAMETERS angstrom
3.3989 1.9624 5.6710
-3.3989 1.9624 5.6710
0.0000 -3.9248 5.6710
ATOMIC_POSITIONS angstrom
Ca 0.0000 0.0000 0.0000
Ca -1.6995 -0.9812 5.6710
Ca -1.6995 0.9812 11.3421
Ca 0.0000 1.9624 5.6710
U -3.3989 0.0000 8.5065
U -1.6995 0.9812 2.8355
U 1.6995 0.9812 2.8355
Ta 0.0000 0.0000 8.5066
N 0.0000 0.0000 4.0709
N -1.6558 -0.9560 9.7041
N 0.0000 -1.9119 7.3090
N -1.6558 0.9560 7.3090
N 1.6558 -0.9560 9.7041
N 0.0000 1.9119 9.7041
N 1.6558 0.9560 7.3090
N 0.0000 0.0000 12.9422
! V: 14.18 Å³ per atom
! total DFT energy (no corrections): -140.52 eV per formula unit
! formation energy from raw total energies: -1.262 eV per atom
! magnetization: 0.180 μB/atom
! D(E_F): 0.85 states/eV/atom
! ρ: 8.5 g/cm3

2.
! Zr2TcRu (GGA-PBE, optimized geometry); values from VASP
&SYSTEM
  ibrav = 0, nat = 4, ntyp = 3
/
ATOMIC_SPECIES
Zr 91.22 Zr.upf
Tc 98.00 Tc.upf
Ru 101.07 Ru.upf
CELL_PARAMETERS angstrom
3.1528 0.0000 0.0000
0.0000 4.3388 0.0000
0.0000 0.0000 5.4189
ATOMIC_POSITIONS angstrom
Zr 0.0000 0.0000 0.0000
Zr 1.5764 2.1694 1.8650
Tc 1.5764 2.1694 4.5647
Ru 0.0000 0.0000 2.7485
! V: 18.53 Å³ per atom
! total DFT energy (no corrections): -37.05 eV per formula unit
! magnetization: 0.000 μB/atom
! D(E_F): 0.94 states/eV/atom
! energy of formation: -79 meV/atom
! ρ: 8.5 g/cm3

3.
! AcCo2PN (GGA-PBE, optimized geometry); values from VASP
&SYSTEM
  ibrav = 0, nat = 10, ntyp = 4
/
ATOMIC_SPECIES
Ac 227.00 Ac.upf
Co 58.93 Co.upf
P 30.97 P.upf
N 14.01 N.upf
CELL_PARAMETERS angstrom
1.9121 -5.5060 0.0000
1.9121 5.5060 0.0000
0.0000 0.0000 6.8982
ATOMIC_POSITIONS angstrom
Ac 1.9121 4.9801 5.1736
Ac 1.9121 -4.9801 1.7245
Co 1.9121 1.8859 3.8333
Co 1.9121 1.8859 6.5140
Co 1.9121 -1.8859 0.3842
Co 1.9121 -1.8859 3.0649
P 1.9121 3.0040 1.7245
P 1.9121 -3.0040 5.1736
N 1.9121 0.0000 0.0000
N 1.9121 0.0000 3.4491
! V: 14.53 Å³ per atom
! total DFT energy (no corrections): -35.44 eV per formula unit
! formation energy from raw total energies: -0.677 eV per atom
! magnetization: 0.369 μB/atom
! D(E_F): 0.78 states/eV/atom
! ρ: 8.9 g/cm3

Which formula does entry 1 have? Ca4U3TaN8

The lowest magnetization belongs to which entry? Zr2TcRu